# Ac3N2Cl3

A geometry-optimized Ac3N2Cl3 structure (GGA-PBE, Alexandria).

Cell lengths 4.1371, 14.2253, 14.0852 Å; angles 90.00, 90.00, 90.00 degrees
Last column: nearest neighbours and their distance in Å.
Space group Cmcm (No. 63)
One atom of each set of equivalent atoms:
Ac (0.0000, 0.1480, 0.0382) [8 per cell]  3 N 2.43-2.51
Ac (0.0000, 0.2006, 0.7500) [4 per cell]  2 N 2.47
N (0.0000, 0.2651, 0.5872) [8 per cell]  4 Ac 2.43-2.51
Cl (0.0000, 0.1481, 0.2500) [4 per cell]  4 Ac 2.98, 4 N 3.33
Cl (0.0000, 0.4413, 0.1218) [8 per cell]  4 Ac 3.31-3.41, 1 Cl 3.61, 2 N 3.62

Results
- Formation energy from raw total energies: -1855 meV per atom

# Be3In

A geometry-optimized Be3In structure (GGA-PBE, Alexandria).

Cell lengths 7.9544, 7.9544, 2.9274 Å; angles 90.00, 90.00, 120.00 degrees
Last column: nearest neighbours and their distance in Å.
Space group R-3m (No. 166, hexagonal axes)
One atom of each set of equivalent atoms:
Be (0.0000, 0.5000, 0.0000) [9 per cell]  2 In 2.49, 4 Be 2.49
In (0.0000, 0.0000, 0.0000) [3 per cell]  6 Be 2.49

Results
- Energy above the most stable polymorph in this dataset: 2.060 eV per formula unit
- Energy relative to the elements: 0.75 eV/atom

# LaAg2Pb

A geometry-optimized LaAg2Pb structure (GGA-PBE, Alexandria).

Cell lengths 3.5362, 3.5362, 29.0104 Å; angles 90.00, 90.00, 120.00 degrees
Last column: nearest neighbours and their distance in Å.
Space group R3m (No. 160, hexagonal axes)
One atom of each set of equivalent atoms:
La (0.0000, 0.0000, 0.0000) [3 per cell]  3 Ag 3.22, 6 La 3.54
Ag (0.0000, 0.0000, 0.2476) [3 per cell]  3 Ag 2.84
Ag (0.0000, 0.0000, 0.5131) [3 per cell]  3 Ag 2.84, 3 Pb 3.03
Pb (0.0000, 0.0000, 0.7691) [3 per cell]  3 Ag 3.03

Results
- Energy relative to the elements: 0.04 eV/atom

# LaTl2SbH

A geometry-optimized LaTl2SbH structure (GGA-PBE, Alexandria).

Cell lengths 5.0143, 5.0143, 4.8397 Å; angles 90.00, 90.00, 90.00 degrees
Last column: nearest neighbours and their distance in Å.
Space group P4/mmm (No. 123)
One atom of each set of equivalent atoms:
La (0.0000, 0.0000, 0.0000) [1 per cell]  2 H 2.42
Tl (0.0000, 0.5000, 0.5000) [2 per cell]  2 H 2.51
Sb (0.5000, 0.5000, 0.0000) [1 per cell]  8 Tl 3.48, 4 La 3.55
H (0.0000, 0.0000, 0.5000) [1 per cell]  2 La 2.42, 4 Tl 2.51

Results
- Raw total energy: -18.65 eV/cell

# AcTbAlTl

A geometry-optimized AcTbAlTl structure (GGA-PBE, Alexandria).

Cell lengths 7.8006, 7.8006, 7.8006 Å; angles 90.00, 90.00, 90.00 degrees
Last column: nearest neighbours and their distance in Å.
Space group F-43m (No. 216)
One atom of each set of equivalent atoms:
Ac (0.0000, 0.0000, 0.0000) [4 per cell]  4 Tl 3.38, 4 Al 3.38
Tb (0.0000, 0.0000, 0.5000) [4 per cell]  4 Tl 3.38, 4 Al 3.38
Al (0.2500, 0.2500, 0.7500) [4 per cell]  4 Ac 3.38, 4 Tb 3.38
Tl (0.2500, 0.2500, 0.2500) [4 per cell]  4 Ac 3.38, 4 Tb 3.38

Results
- Energy relative to the elements: -0.27 eV/atom

# LaPmEr4Tm2

A geometry-optimized LaPmEr4Tm2 structure (GGA-PBE, Alexandria).

Cell lengths 12.2794, 7.1035, 12.2827 Å; angles 90.00, 109.41, 90.00 degrees
Last column: nearest neighbours and their distance in Å.
Space group C2/m (No. 12)
One atom of each set of equivalent atoms:
La (0.2500, 0.2500, 0.0000) [4 per cell]  2 Pm 3.55, 2 Tm 3.55, 2 La 3.55, 6 Er 3.58-3.59
Pm (0.0000, 0.0000, 0.0000) [2 per cell]  4 La 3.55, 2 Tm 3.55, 6 Er 3.58-3.59
Pm (0.0000, 0.0000, 0.5000) [2 per cell]  6 Er 3.51-3.52, 6 Tm 3.55
Er (0.0017, 0.2506, 0.2534) [8 per cell]  3 Tm 3.51-3.58, 2 Pm 3.52-3.58, 6 Er 3.53-3.56, 1 La 3.58
Er (0.2483, 0.5000, 0.7453) [4 per cell]  3 Tm 3.50, 6 Er 3.54-3.55, 2 La 3.59, 1 Pm 3.59
Er (0.2490, 0.0000, 0.7458) [4 per cell]  3 Tm 3.51-3.58, 1 Pm 3.51, 6 Er 3.53-3.56, 2 La 3.59
Tm (0.0000, 0.5000, 0.0000) [2 per cell]  4 La 3.55, 2 Pm 3.55, 6 Er 3.58
Tm (0.0000, 0.5000, 0.5000) [2 per cell]  6 Er 3.50-3.51, 4 Tm 3.55, 2 Pm 3.55
Tm (0.2500, 0.2500, 0.5000) [4 per cell]  6 Er 3.50-3.51, 2 Pm 3.55, 4 Tm 3.55

Results
- Energy relative to the elements: 0.02 eV/atom